(1)
5
Lattice="-3.910 -2.712 1.563 2.764 -1.817 3.761 -1.469 3.799 2.915" Properties=species:S:1:pos:R:3 comment="PBE-GGA Re3PbS, optimized geometry" raw_formation_energy_ev_per_fu=18.171 e_above_lowest_polymorph_ev_per_atom=2.453 magmom_total_mub_per_fu=2.638 total_energy_ev_per_cell=-27.0 pbc="T T T"
S -1.308 -0.365 4.119
Pb 0.000 0.000 0.000
Re -1.955 -1.356 0.782
Re 1.382 -0.909 1.880
Re -0.734 1.899 1.458

=====

(2)
5
Lattice="4.848 0.000 0.000 0.000 3.878 0.000 0.000 0.000 4.848" Properties=species:S:1:pos:R:3 comment="PBE-GGA CdAgHSe2, optimized geometry" e_above_lowest_polymorph_ev_per_atom=0.076 magmom_total_mub_per_fu=0.000 total_energy_ev_per_cell=-12.0 pbc="T T T"
Cd 0.000 1.939 0.000
Ag 2.424 1.939 2.424
Se 0.000 0.000 2.424
Se 2.424 0.000 0.000
H 0.000 0.000 0.000

=====

(3)
16
Lattice="5.428 0.000 0.000 0.000 7.584 0.000 0.000 0.000 10.856" Properties=species:S:1:pos:R:3 comment="PBE-GGA NdDy3Tl4, optimized geometry" formation_enthalpy_0k_mev_per_atom=-352 e_above_lowest_polymorph_ev_per_atom=0.000 magmom_total_mub_per_fu=0.000 total_energy_ev_per_cell=-61.7 pbc="T T T"
Tl 0.007 5.733 8.142
Tl 2.714 5.734 5.428
Tl 2.714 5.734 0.000
Tl 5.421 1.851 2.714
Tl 0.007 1.851 8.142
Tl 2.714 1.851 0.000
Tl 5.421 5.733 2.714
Tl 2.714 1.851 5.428
Dy 2.707 0.000 2.714
Dy 0.000 0.000 0.000
Dy 0.000 0.000 5.428
Dy 2.720 0.000 8.142
Dy 2.709 3.792 2.714
Dy 2.719 3.792 8.142
Nd 0.000 3.792 5.428
Nd 0.000 3.792 0.000

=====

(4)
10
Lattice="8.621 0.000 0.000 0.000 8.621 0.000 4.311 4.311 6.639" Properties=species:S:1:pos:R:3 comment="PBE-GGA Cs2KSI6, optimized geometry" raw_formation_energy_ev_per_fu=-7.395 magmom_total_mub_per_fu=1.000 total_energy_ev_per_cell=-23.6 pbc="T T T"
Cs 8.621 4.311 3.319
Cs 4.311 8.621 3.319
I 8.621 8.621 3.359
I 6.218 6.218 0.000
I 6.218 2.403 0.000
I 2.403 2.403 0.000
I 4.311 4.311 3.279
I 2.403 6.218 0.000
S 4.311 4.311 0.000
K 0.000 0.000 0.000

=====

(5)
5
Lattice="-1.743 -2.292 3.560 2.926 -3.435 -0.778 3.060 1.979 2.772" Properties=species:S:1:pos:R:3 comment="PBE-GGA VCr3Bi, optimized geometry" formation_enthalpy_0k_mev_per_atom=1080 e_above_lowest_polymorph_ev_per_atom=0.000 magmom_total_mub_per_fu=7.709 total_energy_ev_per_cell=-36.5 pbc="T T T"
V 0.000 0.000 0.000
Bi 2.122 -1.874 2.777
Cr 1.530 0.990 1.386
Cr -0.872 -1.146 1.780
Cr 1.463 -1.717 -0.389

=====

(6)
4
Lattice="5.125 0.000 0.010 4.081 3.100 0.010 1.323 0.446 4.576" Properties=species:S:1:pos:R:3 comment="PBE-GGA TaTeW2, optimized geometry" raw_formation_energy_ev_per_fu=1.988 magmom_total_mub_per_fu=0.000 total_energy_ev_per_cell=-38.9 pbc="T T T"
Te 7.837 2.639 3.331
W 9.158 3.084 0.262
W 2.698 0.908 0.919
Ta 5.309 1.788 2.402

=====

(7)
12
Lattice="-2.412 4.009 1.314 -3.188 0.446 -7.210 -6.455 -4.724 2.562" Properties=species:S:1:pos:R:3 comment="PBE-GGA SrSnAu, optimized geometry" formation_enthalpy_0k_mev_per_atom=-730 magmom_total_mub_per_fu=0.000 total_energy_ev_per_cell=-44.6 pbc="T T T"
Sr -5.147 -2.304 2.074
Sr -4.676 2.279 -2.056
Sr -7.380 -2.548 -1.277
Sr -6.908 2.035 -5.408
Sn -6.593 0.381 0.217
Sn -10.309 -0.949 -2.546
Sn -1.746 0.680 -0.788
Sn -5.463 -0.650 -3.550
Au -4.221 -0.813 -0.773
Au -7.834 0.544 -2.560
Au -8.340 -1.215 1.878
Au -3.716 0.946 -5.211

=====

(8)
8
Lattice="-1.936 -0.054 -5.622 -4.668 -0.109 3.682 -0.167 6.847 -0.008" Properties=species:S:1:pos:R:3 comment="PBE-GGA CaSn2Pb, optimized geometry" formation_enthalpy_0k_mev_per_atom=-321 magmom_total_mub_per_fu=0.000 total_energy_ev_per_cell=-30.0 pbc="T T T"
Sn -5.141 -0.127 -1.510
Sn -5.225 3.296 -1.514
Sn -1.463 -0.036 -0.430
Sn -1.546 3.387 -0.434
Ca -2.706 1.643 -3.144
Ca -4.065 5.041 1.196
Pb -3.970 1.617 1.160
Pb -2.801 5.066 -3.108

=====

(9)
4
Lattice="-4.192 -0.023 -2.145 0.003 -4.709 0.044 -0.133 2.405 5.402" Properties=species:S:1:pos:R:3 comment="PBE-GGA Tb3Al, optimized geometry" formation_enthalpy_0k_mev_per_atom=-152 magmom_total_mub_per_fu=0.000 total_energy_ev_per_cell=-18.2 pbc="T T T"
Tb -2.094 -2.366 -1.051
Tb -1.112 -2.335 2.198
Tb -3.210 0.008 1.103
Al 0.000 0.000 0.000

=====

Copy entry 2 word for word.
5
Lattice="4.848 0.000 0.000 0.000 3.878 0.000 0.000 0.000 4.848" Properties=species:S:1:pos:R:3 comment="PBE-GGA CdAgHSe2, optimized geometry" e_above_lowest_polymorph_ev_per_atom=0.076 magmom_total_mub_per_fu=0.000 total_energy_ev_per_cell=-12.0 pbc="T T T"
Cd 0.000 1.939 0.000
Ag 2.424 1.939 2.424
Se 0.000 0.000 2.424
Se 2.424 0.000 0.000
H 0.000 0.000 0.000